Record 1
Compound: Gd2BiSb
Source: Alexandria via LeMat-Bulk
Functional: PBE
Structure: optimized geometry

Cell and atoms, written as POSCAR:
```
Gd2BiSb
1.0
4.465 0.000 0.000
-2.233 3.867 0.000
0.000 0.000 21.921
Gd Bi Sb
6 3 3
Cartesian
0.000 0.000 5.434
0.000 0.000 16.487
0.000 2.578 9.180
0.000 2.578 20.048
2.233 1.289 1.873
2.233 1.289 12.741
0.000 0.000 0.000
0.000 2.578 14.614
2.233 1.289 7.307
0.000 0.000 10.960
0.000 2.578 3.653
2.233 1.289 18.267
```

Calculated values
Total magnetization = 42.240 μB/cell
Raw formation energy = -1.033 eV per atom

=====

Record 2
Compound: CaTcSb
Source: Alexandria via LeMat-Bulk
Functional: PBE
Structure: optimized geometry

Cell and atoms, written as POSCAR:
```
CaTcSb
1.0
4.576 0.000 0.000
-2.288 3.963 0.000
0.000 0.000 3.857
Ca Tc Sb
1 1 1
Cartesian
0.000 0.000 0.000
0.000 2.642 1.928
2.288 1.321 1.928
```

Calculated values
Offset from the most stable computed form = 127 meV per atom
Total magnetization = 0.000 μB/cell
Raw formation energy = -0.033 eV per atom

=====

Record 3
Compound: Ac2TlNi2
Source: Alexandria via LeMat-Bulk
Functional: PBE
Structure: optimized geometry

Cell and atoms, written as POSCAR:
```
Ac2TlNi2
1.0
4.139 0.000 0.000
0.000 15.707 0.000
0.000 0.000 4.049
Ac Tl Ni
4 2 4
Cartesian
0.000 2.185 0.000
0.000 13.522 0.000
2.069 5.669 0.000
2.069 10.038 0.000
0.000 7.853 2.025
2.069 0.000 2.025
0.000 4.596 2.025
0.000 11.111 2.025
2.069 3.258 2.025
2.069 12.449 2.025
```

Calculated values
Offset from the most stable computed form = 0 meV per atom
Total magnetization = 0.000 μB/cell
DFT formation energy = -345 meV/atom

=====

Record 4
Compound: ErFe5P3
Source: Alexandria via LeMat-Bulk
Functional: PBE
Structure: optimized geometry

Cell and atoms, written as POSCAR:
```
ErFe5P3
1.0
1.848 -5.941 0.000
1.848 5.941 0.000
0.000 0.000 10.674
Er Fe P
2 10 6
Cartesian
1.848 3.858 8.005
1.848 -3.858 2.668
0.000 0.000 0.000
0.000 0.000 5.337
1.848 3.675 0.678
1.848 3.675 4.659
1.848 0.480 6.822
1.848 0.480 9.189
1.848 -0.480 1.485
1.848 -0.480 3.852
1.848 -3.675 6.015
1.848 -3.675 9.996
1.848 4.669 2.668
1.848 1.551 0.495
1.848 1.551 4.842
1.848 -1.551 5.832
1.848 -1.551 10.179
1.848 -4.669 8.005
```

Calculated values
Offset from the most stable computed form = 101 meV per atom
Total magnetization = 10.340 μB/cell
DFT formation energy = -648 meV/atom

=====

Record 5
Compound: BeVAu
Source: Alexandria via LeMat-Bulk
Functional: PBE
Structure: optimized geometry

Cell and atoms, written as POSCAR:
```
BeVAu
1.0
4.193 0.000 0.000
0.000 9.345 0.000
0.000 0.000 3.976
Be V Au
4 4 4
Cartesian
0.000 2.228 0.994
0.000 7.117 2.982
2.096 2.445 2.982
2.096 6.901 0.994
0.000 0.741 2.982
0.000 8.604 0.994
2.096 3.932 0.994
2.096 5.414 2.982
0.000 3.616 2.982
0.000 5.730 0.994
2.096 1.057 0.994
2.096 8.288 2.982
```

Calculated values
Offset from the most stable computed form = 8 meV per atom
Total magnetization = 0.000 μB/cell
DFT formation energy = -80 meV/atom

=====

Record 6
Compound: Ba2Li3MgCd12
Source: Alexandria via LeMat-Bulk
Functional: PBE
Structure: optimized geometry

Cell and atoms, written as POSCAR:
```
Ba2Li3MgCd12
1.0
4.661 2.691 7.580
-4.661 2.691 7.580
0.000 -5.382 7.580
Ba Li Mg Cd
2 3 1 12
Cartesian
0.000 0.000 2.104
0.000 0.000 20.635
-2.331 -1.346 7.580
-2.331 1.346 15.159
0.000 2.691 7.580
0.000 0.000 11.370
-2.319 -1.339 10.606
0.000 -1.845 6.215
-1.597 0.922 6.215
0.000 -2.677 12.133
-2.319 1.339 12.133
-1.597 -0.922 16.524
1.597 0.922 6.215
2.319 -1.339 10.606
0.000 2.677 10.606
1.597 -0.922 16.524
0.000 1.845 16.524
2.319 1.339 12.133
```

Calculated values
Total magnetization = 0.000 μB/cell
DFT formation energy = 54 meV/atom

=====

Record 7
Compound: YEr5TmTh2
Source: Alexandria via LeMat-Bulk
Functional: PBE
Structure: optimized geometry

Cell and atoms, written as POSCAR:
```
YEr5TmTh2
1.0
-4.354 4.354 7.676
4.354 -4.354 7.676
4.354 4.354 -7.676
Y Er Tm Th
2 10 2 4
Cartesian
0.000 0.000 3.838
0.000 0.000 11.514
0.000 0.000 0.000
6.187 1.833 -2.150
1.833 2.521 -2.150
6.187 1.833 2.150
1.833 2.521 2.150
0.000 0.000 7.676
2.521 1.833 5.526
-1.833 2.521 5.526
2.521 1.833 9.826
-1.833 2.521 9.826
4.354 0.000 3.838
0.000 4.354 3.838
3.313 1.041 0.000
3.313 -1.041 7.676
1.041 5.396 0.000
1.041 3.313 7.676
```

Calculated values
Total magnetization = 0.014 μB/cell
DFT formation energy = 349 meV/atom

=====

Record 8
Compound: TiFe2Pb
Source: Alexandria via LeMat-Bulk
Functional: PBE
Structure: optimized geometry

Cell and atoms, written as POSCAR:
```
TiFe2Pb
1.0
3.926 0.000 0.000
0.000 3.926 0.000
0.000 0.000 18.524
Ti Fe Pb
4 8 4
Cartesian
0.000 0.000 0.000
0.000 1.963 4.631
1.963 0.000 13.893
1.963 1.963 9.262
0.796 0.982 2.315
0.982 2.759 6.946
0.982 3.130 16.208
1.167 0.982 11.577
2.759 2.945 11.577
2.945 0.796 16.208
2.945 1.167 6.946
3.130 2.945 2.315
0.000 0.000 9.262
0.000 1.963 13.893
1.963 0.000 4.631
1.963 1.963 0.000
```

Calculated values
Total magnetization = 18.415 μB/cell
DFT formation energy = 580 meV/atom

=====

Question: The highest total magnetization belongs to which entry?
Answer: Gd2BiSb